# 1
An optimized crystal structure of Rb2U2CdSe6, computed with PBE-GGA. Values from VASP.

Cell and atoms, written as Quantum ESPRESSO input:
```
&SYSTEM
  ibrav = 0, nat = 11, ntyp = 4
/
ATOMIC_SPECIES
Rb 85.47 Rb.upf
U 238.03 U.upf
Cd 112.41 Cd.upf
Se 78.96 Se.upf
CELL_PARAMETERS angstrom
3.574 -6.282 0.000
3.574 6.282 0.000
-2.284 0.000 8.241
ATOMIC_POSITIONS angstrom
Rb 3.574 4.246 0.000
Rb 3.574 -4.246 0.000
U 2.431 2.085 4.120
U 2.431 -2.085 4.120
Cd -1.142 0.000 4.120
Se 0.085 2.175 5.708
Se 1.268 0.000 2.552
Se 0.085 -2.175 5.708
Se 4.778 2.175 2.533
Se 3.595 0.000 5.689
Se 4.778 -2.175 2.533
```

Results
Calculated volume ... 370.0 Å³/cell
E ... -5.32 eV/atom

---

# 2
An optimized crystal structure of Rb2UCdSe6, computed with PBE-GGA. Values from VASP.

Cell and atoms, written as Quantum ESPRESSO input:
```
&SYSTEM
  ibrav = 0, nat = 10, ntyp = 4
/
ATOMIC_SPECIES
Rb 85.47 Rb.upf
U 238.03 U.upf
Cd 112.41 Cd.upf
Se 78.96 Se.upf
CELL_PARAMETERS angstrom
0.000 5.444 5.444
5.444 0.000 5.444
5.444 5.444 0.000
ATOMIC_POSITIONS angstrom
Rb 2.722 2.722 2.722
Rb 8.166 8.166 8.166
U 0.000 0.000 0.000
Cd 5.444 5.444 5.444
Se 5.444 5.444 2.661
Se 5.444 2.661 5.444
Se 8.227 5.444 5.444
Se 2.661 5.444 5.444
Se 5.444 8.227 5.444
Se 5.444 5.444 8.227
```

Results
Calculated volume ... 322.7 Å³/cell
E ... -4.30 eV/atom

---

# 3
An optimized crystal structure of Rb2UCd2Se4, computed with PBE-GGA. Values from VASP.

Cell and atoms, written as Quantum ESPRESSO input:
```
&SYSTEM
  ibrav = 0, nat = 9, ntyp = 4
/
ATOMIC_SPECIES
Rb 85.47 Rb.upf
U 238.03 U.upf
Cd 112.41 Cd.upf
Se 78.96 Se.upf
CELL_PARAMETERS angstrom
8.826 -2.057 0.000
8.826 2.057 0.000
-3.872 0.000 7.817
ATOMIC_POSITIONS angstrom
Rb 2.009 0.000 0.532
Rb 11.771 0.000 7.285
U -1.936 0.000 3.908
Cd 3.569 0.000 3.734
Cd 10.211 0.000 4.083
Se 0.209 0.000 5.666
Se 5.657 0.000 5.558
Se 8.123 0.000 2.259
Se 13.571 0.000 2.151
```

Results
Calculated volume ... 283.9 Å³/cell
E ... -4.13 eV/atom

---

# 4
An optimized crystal structure of Rb2CdWSe, computed with PBE-GGA. Values from VASP.

Cell and atoms, written as Quantum ESPRESSO input:
```
&SYSTEM
  ibrav = 0, nat = 5, ntyp = 4
/
ATOMIC_SPECIES
Rb 85.47 Rb.upf
Cd 112.41 Cd.upf
W 183.84 W.upf
Se 78.96 Se.upf
CELL_PARAMETERS angstrom
7.027 0.000 0.000
0.000 7.027 0.000
0.000 0.000 5.120
ATOMIC_POSITIONS angstrom
Rb 0.000 3.513 0.000
Rb 3.513 0.000 0.000
Cd 0.000 0.000 0.000
W 3.513 3.513 2.560
Se 0.000 0.000 2.560
```

Results
Calculated volume ... 252.8 Å³/cell
E ... -2.74 eV/atom